{
  "formula": "CsBeCr3",
  "functional": "PBEsol",
  "state": "optimized geometry",
  "magnetic_moment_mub_per_cell": 12.8,
  "e_tot_ev_per_atom": -5.6279,
  "lattice": [[-4.5469, -0.5397, 1.1276], [-0.3531, -3.5258, -3.1115], [1.1992, -3.0846, 3.3592]],
  "species": ["Cr", "Be", "Cr", "Cs", "Cr"],
  "frac_coords": [[0.0000, 0.5000, 0.0000], [0.0000, 0.0000, 0.0000], [0.0000, 0.0000, 0.5000], [0.5000, 0.5000, 0.5000], [0.5000, 0.0000, 0.0000]]
}

{
  "formula": "CsBe2Cr",
  "functional": "PBEsol",
  "state": "optimized geometry",
  "magnetic_moment_mub_per_cell": 4.3,
  "e_tot_ev_per_atom": -3.0515,
  "lattice": [[-4.5526, 0.6863, -1.8362], [-2.8902, -3.9049, -0.9838], [-3.9732, -0.9153, 2.8187]],
  "species": ["Be", "Be", "Cr", "Cs"],
  "frac_coords": [[0.2500, 0.2500, 0.2500], [0.7500, 0.7500, 0.7500], [0.0000, 0.0000, 0.0000], [0.5000, 0.5000, 0.5000]]
}

{
  "formula": "BeCrCu2Ir",
  "functional": "PBEsol",
  "state": "optimized geometry",
  "magnetic_moment_mub_per_cell": 0.0,
  "e_tot_ev_per_atom": -4.8997,
  "lattice": [[-2.3904, 1.2977, -2.7909], [-2.3275, -3.4482, 0.3901], [-2.3396, 1.9061, 2.8901]],
  "species": ["Be", "Cr", "Ir", "Cu", "Cu"],
  "frac_coords": [[0.5000, 0.0000, 0.0000], [0.0000, 0.0000, 0.0000], [0.5000, 0.5000, 0.5000], [0.0000, 0.0000, 0.5000], [0.0000, 0.5000, 0.0000]]
}

{
  "formula": "BeCr2F",
  "functional": "PBEsol",
  "state": "optimized geometry",
  "magnetic_moment_mub_per_cell": 15.6,
  "e_form_raw_ev_per_atom": 0.345,
  "lattice": [[5.1665, -0.0190, 0.0000], [-1.8013, 4.8424, 0.0000], [-1.6826, -2.4117, 4.2480]],
  "species": ["Cr", "Cr", "Be", "F", "F", "Cr", "Be", "Cr"],
  "frac_coords": [[0.3422, 0.3750, 0.4672], [0.9078, 0.8750, 0.5328], [0.7500, 0.2500, 0.5000], [0.0000, 0.0000, 0.0000], [0.2500, 0.7500, 0.5000], [0.1250, 0.6578, 0.0328], [0.5000, 0.5000, 0.0000], [0.6250, 0.0922, 0.9672]]
}

{
  "formula": "BeCrO2F",
  "functional": "PBEsol",
  "state": "optimized geometry",
  "magnetic_moment_mub_per_cell": 3.0,
  "e_form_raw_ev_per_atom": -1.572,
  "lattice": [[-2.8235, -1.3527, -0.3599], [0.4898, -1.8205, 2.9998], [-1.4955, 2.6317, 1.8413]],
  "species": ["O", "F", "Be", "O", "Cr"],
  "frac_coords": [[0.0000, 0.5000, 0.0000], [0.5000, 0.0000, 0.0000], [0.0000, 0.0000, 0.0000], [0.0000, 0.0000, 0.5000], [0.5000, 0.5000, 0.5000]]
}

{
  "formula": "Be2CrRuF",
  "functional": "PBEsol",
  "state": "optimized geometry",
  "magnetic_moment_mub_per_cell": 2.5,
  "e_form_raw_ev_per_atom": -0.011,
  "lattice": [[-3.2768, 0.6913, -2.0556], [-0.6585, -3.5767, -0.1531], [-1.8980, 0.2168, 3.0985]],
  "species": ["F", "Ru", "Cr", "Be", "Be"],
  "frac_coords": [[0.0000, 0.0000, 0.0000], [0.5000, 0.5000, 0.5000], [0.5000, 0.0000, 0.0000], [0.0000, 0.5000, 0.0000], [0.0000, 0.0000, 0.5000]]
}

{
  "formula": "BeCrFe",
  "functional": "PBEsol",
  "state": "optimized geometry",
  "magnetic_moment_mub_per_cell": 0.0,
  "de_polymorph_mev_per_atom": 207.7,
  "lattice": [[-1.7355, -1.4859, 0.8575], [1.8131, -0.9002, -1.3630], [3.1183, -0.9037, 4.7449]],
  "species": ["Be", "Cr", "Fe"],
  "frac_coords": [[0.0000, 0.0000, 0.0088], [0.3333, 0.6667, 0.6610], [0.6667, 0.3333, 0.3302]]
}

{
  "formula": "BeCrFe",
  "functional": "PBEsol",
  "state": "optimized geometry",
  "magnetic_moment_mub_per_cell": 0.0,
  "de_polymorph_mev_per_atom": 0.0,
  "lattice": [[2.7011, 0.0000, 0.0000], [0.0000, 2.7011, 0.0000], [-1.3506, -1.3506, 3.9211]],
  "species": ["Be", "Cr", "Fe"],
  "frac_coords": [[0.9948, 0.9948, 0.9897], [0.6714, 0.6714, 0.3428], [0.3338, 0.3338, 0.6676]]
}

{
  "formula": "BeCrFeO2",
  "functional": "PBEsol",
  "state": "optimized geometry",
  "magnetic_moment_mub_per_cell": 5.4,
  "e_form_raw_ev_per_atom": 0.161,
  "lattice": [[-1.6929, -1.3571, 2.6985], [2.5784, -2.2606, 0.4807], [1.8206, 2.5971, 2.4482]],
  "species": ["Be", "Cr", "O", "O", "Fe"],
  "frac_coords": [[0.0000, 0.0000, 0.0000], [0.5000, 0.5000, 0.5000], [0.0000, 0.5000, 0.0000], [0.5000, 0.0000, 0.0000], [0.0000, 0.0000, 0.5000]]
}

{
  "formula": "Be2CrGe2",
  "functional": "PBEsol",
  "state": "optimized geometry",
  "magnetic_moment_mub_per_cell": 2.4,
  "e_tot_ev_per_atom": -5.2104,
  "lattice": [[-2.4329, -1.3878, 1.6450], [-1.0293, -1.4302, -2.7288], [5.2620, -3.3826, 1.7214]],
  "species": ["Ge", "Ge", "Be", "Be", "Cr"],
  "frac_coords": [[0.3900, 0.3900, 0.7801], [0.6100, 0.6100, 0.2199], [0.7500, 0.2500, 0.5000], [0.2500, 0.7500, 0.5000], [0.0000, 0.0000, 0.0000]]
}

{
  "formula": "BeCrGe3",
  "functional": "PBEsol",
  "state": "optimized geometry",
  "magnetic_moment_mub_per_cell": 4.3,
  "e_tot_ev_per_atom": -5.0976,
  "lattice": [[4.4149, 0.0000, 0.0000], [0.0000, 4.4149, 0.0000], [0.0000, 0.0000, 4.4149]],
  "species": ["Ge", "Ge", "Ge", "Be", "Cr"],
  "frac_coords": [[0.0000, 0.0000, 0.5000], [0.0000, 0.5000, 0.0000], [0.5000, 0.0000, 0.0000], [0.0000, 0.0000, 0.0000], [0.5000, 0.5000, 0.5000]]
}

{
  "formula": "BeNb2CrGe",
  "functional": "PBEsol",
  "state": "optimized geometry",
  "magnetic_moment_mub_per_cell": 0.0,
  "e_tot_ev_per_atom": -7.2606,
  "lattice": [[4.0381, 0.0000, 0.0000], [0.0000, 4.5500, 0.0000], [0.0000, 0.0000, 4.5500]],
  "species": ["Nb", "Nb", "Ge", "Be", "Cr"],
  "frac_coords": [[0.0000, 0.0000, 0.5000], [0.0000, 0.5000, 0.0000], [0.5000, 0.5000, 0.5000], [0.5000, 0.0000, 0.0000], [0.0000, 0.0000, 0.0000]]
}

{
  "formula": "Be2CrGeRh",
  "functional": "PBEsol",
  "state": "optimized geometry",
  "magnetic_moment_mub_per_cell": 4.2,
  "e_tot_ev_per_atom": -5.7149,
  "lattice": [[4.1586, 0.0000, 0.0000], [0.0000, 4.1586, 0.0000], [0.0000, 0.0000, 4.5633]],
  "species": ["Rh", "Be", "Cr", "Ge", "Be"],
  "frac_coords": [[0.0000, 0.0000, 0.0000], [0.5000, 0.0000, 0.0000], [0.5000, 0.5000, 0.5000], [0.0000, 0.0000, 0.5000], [0.0000, 0.5000, 0.0000]]
}

{
  "formula": "Hf2BeCrMo",
  "functional": "PBEsol",
  "state": "optimized geometry",
  "magnetic_moment_mub_per_cell": 0.0,
  "e_tot_ev_per_atom": -8.3876,
  "lattice": [[4.0232, 0.0000, 0.0000], [0.0000, 4.6171, 0.0000], [0.0000, 0.0000, 4.6171]],
  "species": ["Hf", "Cr", "Hf", "Mo", "Be"],
  "frac_coords": [[0.0000, 0.0000, 0.5000], [0.0000, 0.0000, 0.0000], [0.0000, 0.5000, 0.0000], [0.5000, 0.5000, 0.5000], [0.5000, 0.0000, 0.0000]]
}